1.
# Sm2Y2HoTm4

A relaxed structure of Sm2Y2HoTm4 (GGA-PBE, Alexandria).

```
9
Lattice="9.272 -1.785 0.000 9.272 1.785 0.000 -4.126 0.000 8.548" Properties=species:S:1:pos:R:3 pbc="T T T"
Sm 3.066 0.000 0.014
Sm 11.353 0.000 8.534
Y 5.158 0.000 2.882
Y 9.260 0.000 5.666
Ho 9.272 0.000 0.000
Tm -1.020 0.000 2.854
Tm 3.103 0.000 5.673
Tm 11.316 0.000 2.875
Tm 15.439 0.000 5.694
```

Values from the calculation:
- Energy of formation: 0.00 eV per atom
- Total energy: -4.983 eV per atom
- ρ: 7.74 g/cm3
- Crystal system: monoclinic
- Calculated volume: 31.44 Å³/atom

2.
# SmY6HoTm2

A relaxed structure of SmY6HoTm2 (GGA-PBE, Alexandria).

```
20
Lattice="4.570 -7.482 0.000 4.570 7.482 0.000 -1.183 0.000 9.453" Properties=species:S:1:pos:R:3 pbc="T T T"
Sm 3.682 7.078 7.090
Sm 4.274 -7.078 2.363
Y 1.835 4.119 6.454
Y 3.934 4.748 0.533
Y 4.615 4.748 4.194
Y 2.626 1.625 8.357
Y 5.529 4.119 7.726
Y 4.738 1.625 5.824
Y 3.218 -1.625 3.630
Y 2.427 -4.119 1.727
Y 5.330 -1.625 1.097
Y 3.342 -4.748 5.260
Y 4.023 -4.748 8.920
Y 6.121 -4.119 2.999
Ho 4.274 1.349 2.363
Ho 3.682 -1.349 7.090
Tm 1.637 0.771 5.184
Tm 2.228 -0.771 0.458
Tm 5.728 0.771 8.996
Tm 6.320 -0.771 4.269
```

Values from the calculation:
- Energy of formation: 0.12 eV per atom
- Total energy: -5.582 eV per atom
- ρ: 6.10 g/cm3
- Crystal system: monoclinic
- Calculated volume: 32.32 Å³/atom

3.
# Sm6Y2HoTm3

A relaxed structure of Sm6Y2HoTm3 (GGA-PBE, Alexandria).

```
12
Lattice="3.103 -5.372 0.000 3.103 5.372 0.000 -2.060 0.000 11.577" Properties=species:S:1:pos:R:3 pbc="T T T"
Sm 0.006 1.786 8.706
Sm 1.031 0.000 2.870
Sm 0.006 -1.786 8.706
Sm 4.141 1.786 2.871
Sm 3.116 0.000 8.708
Sm 4.141 -1.786 2.871
Y 2.073 1.790 5.789
Y 2.073 -1.790 5.789
Ho -1.030 0.000 5.789
Tm 3.103 3.581 0.000
Tm 3.103 0.000 0.000
Tm 3.103 -3.581 0.000
```

Values from the calculation:
- Energy of formation: 0.02 eV per atom
- Total energy: -4.920 eV per atom
- ρ: 7.54 g/cm3
- Crystal system: monoclinic
- Calculated volume: 32.17 Å³/atom

4.
# SmYHo2Tm2

A relaxed structure of SmYHo2Tm2 (GGA-PBE, Alexandria).

```
12
Lattice="6.924 0.000 0.000 0.000 15.987 0.000 0.000 0.000 3.500" Properties=species:S:1:pos:R:3 pbc="T T T"
Sm 0.000 0.000 0.000
Sm 3.462 7.994 1.750
Y 0.000 7.994 1.750
Y 3.462 0.000 0.000
Ho 1.734 2.529 1.750
Ho 1.728 10.522 0.000
Ho 5.196 5.465 0.000
Ho 5.190 13.458 1.750
Tm 1.725 13.497 1.750
Tm 1.737 5.503 0.000
Tm 5.187 10.484 0.000
Tm 5.199 2.490 1.750
```

Values from the calculation:
- Energy of formation: 0.17 eV per atom
- Total energy: -4.710 eV per atom
- ρ: 7.77 g/cm3
- Crystal system: orthorhombic
- Calculated volume: 32.29 Å³/atom

5.
# Sm3YHo6Tm2

A relaxed structure of Sm3YHo6Tm2 (GGA-PBE, Alexandria).

```
12
Lattice="3.075 -5.321 0.000 3.075 5.321 0.000 -2.042 0.000 11.567" Properties=species:S:1:pos:R:3 pbc="T T T"
Sm 0.000 0.000 0.000
Sm 3.075 1.775 0.000
Sm 3.075 -1.775 0.000
Y 2.054 0.000 5.784
Ho 1.022 1.779 2.926
Ho 0.002 0.000 8.642
Ho 1.022 -1.779 2.926
Ho 3.086 1.779 8.642
Ho 4.106 0.000 2.926
Ho 3.086 -1.779 8.642
Tm 2.054 3.547 5.784
Tm 2.054 -3.547 5.784
```

Values from the calculation:
- Energy of formation: 0.02 eV per atom
- Total energy: -4.732 eV per atom
- ρ: 8.19 g/cm3
- Crystal system: monoclinic
- Calculated volume: 31.55 Å³/atom

6.
# SmY6Ho2Tm3

A relaxed structure of SmY6Ho2Tm3 (GGA-PBE, Alexandria).

```
12
Lattice="3.073 -5.316 0.000 3.073 5.316 0.000 -2.041 0.000 11.584" Properties=species:S:1:pos:R:3 pbc="T T T"
Sm 0.000 0.000 0.000
Y 1.030 1.774 2.916
Y 0.007 0.000 8.668
Y 1.030 -1.774 2.916
Y 3.076 1.774 8.669
Y 4.099 0.000 2.916
Y 3.076 -1.774 8.669
Ho 3.073 1.771 0.000
Ho 3.073 -1.771 0.000
Tm 2.053 3.541 5.792
Tm 2.053 0.000 5.792
Tm 2.053 -3.541 5.792
```

Values from the calculation:
- Energy of formation: 0.03 eV per atom
- Total energy: -5.481 eV per atom
- ρ: 6.67 g/cm3
- Crystal system: monoclinic
- Calculated volume: 31.55 Å³/atom